(1)
DFT (PBE-GGA) results for a relaxed CaAgAu2C crystal.

Results
The value obtained for the formation energy is 1.49 eV/atom. As for the energy: -2.63 eV per atom.

Lattice parameters (Å, degrees): 5.515 5.515 4.685 90.00 90.00 90.00
Sites, in units of the cell vectors:
Ca: 0.000 0.000 0.000
Ag: 0.500 0.500 0.500
Au: 0.000 0.500 0.000
Au: 0.500 0.000 0.000
C: 0.000 0.000 0.500

---

(2)
DFT (PBE-GGA) results for a relaxed CaAgAu2C crystal.

Results
The value obtained for the formation energy is 0.28 eV/atom. As for the energy: -3.84 eV per atom.

Lattice parameters (Å, degrees): 4.493 4.493 4.464 90.00 90.00 90.00
Sites, in units of the cell vectors:
Ca: 0.000 0.000 0.000
Ag: 0.500 0.500 0.000
Au: 0.000 0.500 0.500
Au: 0.500 0.000 0.500
C: 0.500 0.500 0.500

---

(3)
DFT (PBE-GGA) results for a relaxed AgAuC2Cl crystal.

Results
As for the formation energy from raw total energies: 2750.1 meV per atom. As for the energy: -2.53 eV per atom.

Lattice parameters (Å, degrees): 4.101 4.101 5.037 90.00 90.00 90.00
Sites, in units of the cell vectors:
Ag: 0.000 0.000 0.000
Au: 0.500 0.500 0.000
C: 0.000 0.500 0.500
C: 0.500 0.000 0.500
Cl: 0.500 0.500 0.500

---

(4)
DFT (PBE-GGA) results for a relaxed CsAgAu2C crystal.

Results
The value obtained for the formation energy is 0.89 eV/atom. As for the energy: -3.00 eV per atom.

Lattice parameters (Å, degrees): 4.345 4.345 6.383 90.00 90.00 90.00
Sites, in units of the cell vectors:
Cs: 0.000 0.000 0.000
Ag: 0.500 0.500 0.000
Au: 0.000 0.500 0.500
Au: 0.500 0.000 0.500
C: 0.000 0.000 0.500

---

(5)
DFT (PBE-GGA) results for a relaxed AgAuC2F crystal.

Results
As for the formation energy from raw total energies: 1629.7 meV per atom. As for the energy: -3.66 eV per atom.

Lattice parameters (Å, degrees): 3.906 3.906 5.926 90.00 90.00 90.00
Sites, in units of the cell vectors:
Ag: 0.000 0.000 0.000
Au: 0.000 0.000 0.500
C: 0.000 0.500 0.500
C: 0.500 0.000 0.500
F: 0.500 0.500 0.000

---

(6)
DFT (PBE-GGA) results for a relaxed AgAuC2F crystal.

Results
As for the formation energy from raw total energies: 2316.6 meV per atom. As for the energy: -2.97 eV per atom.

Lattice parameters (Å, degrees): 3.977 3.977 4.522 90.00 90.00 90.00
Sites, in units of the cell vectors:
Ag: 0.000 0.000 0.000
Au: 0.500 0.500 0.000
C: 0.000 0.500 0.500
C: 0.500 0.000 0.500
F: 0.000 0.000 0.500

---

(7)
DFT (PBE-GGA) results for a relaxed AgAu2CF crystal.

Results
As for the formation energy from raw total energies: 1558.3 meV per atom. As for the energy: -2.54 eV per atom.

Lattice parameters (Å, degrees): 5.233 5.233 4.056 90.00 90.00 90.00
Sites, in units of the cell vectors:
Ag: 0.000 0.000 0.000
Au: 0.000 0.500 0.000
Au: 0.500 0.000 0.000
C: 0.500 0.500 0.500
F: 0.000 0.000 0.500

---

(8)
DFT (PBE-GGA) results for a relaxed GaAg2AuC crystal.

Results
The value obtained for the formation energy is 1.00 eV/atom. As for the energy: -3.25 eV per atom.

Lattice parameters (Å, degrees): 5.298 5.298 3.856 90.00 90.00 90.00
Sites, in units of the cell vectors:
Ga: 0.000 0.000 0.000
Ag: 0.000 0.500 0.500
Ag: 0.500 0.000 0.500
Au: 0.500 0.500 0.500
C: 0.500 0.500 0.000

---

(9)
DFT (PBE-GGA) results for a relaxed Ag2HgAuC crystal.

Results
The value obtained for the formation energy is 1.80 eV/atom. As for the energy: -1.90 eV per atom.

Lattice parameters (Å, degrees): 5.259 5.259 5.274 90.00 90.00 90.00
Sites, in units of the cell vectors:
Ag: 0.000 0.500 0.000
Ag: 0.500 0.000 0.000
Hg: 0.000 0.000 0.500
Au: 0.000 0.000 0.000
C: 0.500 0.500 0.500

---

(10)
DFT (PBE-GGA) results for a relaxed AgIrAuC crystal.

Results
The value obtained for the formation energy is 0.64 eV/atom. As for the energy: -5.41 eV per atom.

Lattice parameters (Å, degrees): 5.451 5.451 4.423 113.86 113.86 33.51
Sites, in units of the cell vectors:
Ag: 0.000 0.000 0.000
Ir: 0.788 0.788 0.288
Au: 0.622 0.622 0.623
C: 0.399 0.399 0.395

---

(11)
DFT (PBE-GGA) results for a relaxed AgIrAuC crystal.

Results
The value obtained for the formation energy is 0.49 eV/atom. As for the energy: -5.57 eV per atom.

Lattice parameters (Å, degrees): 3.115 3.115 7.698 101.10 101.10 61.84
Sites, in units of the cell vectors:
Ag: 0.000 0.000 0.000
Ir: 0.453 0.453 0.312
Au: 0.241 0.241 0.698
C: 0.142 0.142 0.406

---

(12)
DFT (PBE-GGA) results for a relaxed AgIrAuC crystal.

Results
The value obtained for the formation energy is 0.61 eV/atom. As for the energy: -5.44 eV per atom.

Lattice parameters (Å, degrees): 3.265 4.595 5.193 90.00 101.96 90.00
Sites, in units of the cell vectors:
Ag: 0.000 0.000 0.000
Ir: 0.531 0.500 0.091
Au: 0.904 0.500 0.638
C: 0.092 0.500 0.276

---

(13)
DFT (PBE-GGA) results for a relaxed AgIrAuC crystal.

Results
The value obtained for the formation energy is 0.67 eV/atom. As for the energy: -5.39 eV per atom.

Lattice parameters (Å, degrees): 4.425 3.100 5.027 90.00 115.62 90.00
Sites, in units of the cell vectors:
Ag: 0.000 0.000 0.000
Ir: 0.607 0.500 0.217
Au: 0.318 0.000 0.630
C: 0.738 0.000 0.466

---

(14)
DFT (PBE-GGA) results for a relaxed AgIrAuC crystal.

Results
The value obtained for the formation energy is 0.46 eV/atom. As for the energy: -5.59 eV per atom.

Lattice parameters (Å, degrees): 3.213 3.213 7.251 89.88 89.93 60.03
Sites, in units of the cell vectors:
Ag: 0.000 0.000 0.000
Ir: 0.667 0.665 0.314
Au: 0.333 0.335 0.694
C: 0.333 0.331 0.388

---

(15)
DFT (PBE-GGA) results for a relaxed AgIrAuC crystal.

Results
The value obtained for the formation energy is 0.63 eV/atom. As for the energy: -5.43 eV per atom.

Lattice parameters (Å, degrees): 2.877 7.482 7.482 23.94 90.00 90.00
Sites, in units of the cell vectors:
Ag: 0.000 0.000 0.000
Ir: 0.000 0.280 0.280
Au: 0.500 0.639 0.639
C: 0.000 0.852 0.852

---

(16)
DFT (PBE-GGA) results for a relaxed AgIrAuC crystal.

Results
The value obtained for the formation energy is 0.45 eV/atom. As for the energy: -5.60 eV per atom.

Lattice parameters (Å, degrees): 3.217 3.217 7.297 80.73 81.16 60.52
Sites, in units of the cell vectors:
Ag: 0.000 0.000 0.000
Ir: 0.853 0.846 0.620
Au: 0.596 0.592 0.307
C: 0.172 0.163 0.692

---

(17)
DFT (PBE-GGA) results for a relaxed AgIrAuC crystal.

Results
The value obtained for the formation energy is 0.65 eV/atom. As for the energy: -5.40 eV per atom.

Lattice parameters (Å, degrees): 5.418 5.418 3.057 104.83 104.83 49.97
Sites, in units of the cell vectors:
Ag: 0.000 0.000 0.000
Ir: 0.665 0.665 0.640
Au: 0.317 0.317 0.809
C: 0.542 0.542 0.029

---

(18)
DFT (PBE-GGA) results for a relaxed AgIrAuC crystal.

Results
The value obtained for the formation energy is 0.66 eV/atom. As for the energy: -5.40 eV per atom.

Lattice parameters (Å, degrees): 4.737 4.737 5.191 116.03 116.03 38.68
Sites, in units of the cell vectors:
Ag: 0.000 0.000 0.000
Ir: 0.171 0.171 0.640
Au: 0.815 0.815 0.336
C: 0.711 0.711 0.871

---

(19)
DFT (PBE-GGA) results for a relaxed AgIrAuC crystal.

Results
The value obtained for the formation energy is 0.67 eV/atom. As for the energy: -5.38 eV per atom.

Lattice parameters (Å, degrees): 3.128 4.097 5.582 90.00 90.00 90.00
Sites, in units of the cell vectors:
Ag: 0.000 0.000 0.000
Ir: 0.000 0.000 0.499
Au: 0.500 0.500 0.277
C: 0.500 0.000 0.682

---

(20)
DFT (PBE-GGA) results for a relaxed AgIrAuC crystal.

Results
The value obtained for the formation energy is 0.45 eV/atom. As for the energy: -5.60 eV per atom.

Lattice parameters (Å, degrees): 3.220 3.220 7.181 93.59 93.59 60.27
Sites, in units of the cell vectors:
Ag: 0.000 0.000 0.000
Ir: 0.286 0.286 0.383
Au: 0.642 0.642 0.694
C: 0.945 0.945 0.309